No. 1
Below is a relaxed TiCu2Pd9 crystal, with properties calculated at the PBE-GGA level.

```
data_TiCu2Pd9
_symmetry_space_group_name_H-M 'P 4/m m m'
_symmetry_Int_Tables_number 123
_symmetry_space_group_name_Hall '-P 4 2'
_cell_length_a 3.9079
_cell_length_b 3.9079
_cell_length_c 11.6946
_cell_angle_alpha 90.00
_cell_angle_beta 90.00
_cell_angle_gamma 90.00
loop_
_atom_site_label
_atom_site_type_symbol
_atom_site_fract_x
_atom_site_fract_y
_atom_site_fract_z
Ti1 Ti 0.0000 0.0000 0.0000
Cu1 Cu 0.0000 0.0000 0.3367
Pd1 Pd 0.0000 0.5000 0.1657
Pd2 Pd 0.0000 0.5000 0.5000
Pd3 Pd 0.5000 0.5000 0.0000
Pd4 Pd 0.5000 0.5000 0.3328
```

No. 2
Below is a relaxed TiCu6Pd2 crystal, with properties calculated at the PBE-GGA level.

```
data_TiCu6Pd2
_symmetry_space_group_name_H-M 'C 1 2/m 1'
_symmetry_Int_Tables_number 12
_cell_length_a 6.7361
_cell_length_b 12.9345
_cell_length_c 2.8344
_cell_angle_alpha 90.00
_cell_angle_beta 101.28
_cell_angle_gamma 90.00
loop_
_symmetry_equiv_pos_as_xyz
'x,y,z'
'-x,-y,-z'
'-x,y,-z'
'x,-y,z'
'x+1/2,y+1/2,z'
'-x+1/2,-y+1/2,-z'
'-x+1/2,y+1/2,-z'
'x+1/2,-y+1/2,z'
loop_
_atom_site_label
_atom_site_type_symbol
_atom_site_fract_x
_atom_site_fract_y
_atom_site_fract_z
Ti1 Ti 0.0000 0.0000 0.0000
Cu1 Cu 0.1562 0.5000 0.3316
Cu2 Cu 0.1629 0.3403 0.8429
Pd1 Pd 0.0000 0.1678 0.5000
```

No. 3
Below is a relaxed Ti4Cu4Pd3 crystal, with properties calculated at the PBE-GGA level.

```
data_Ti4Cu4Pd3
_symmetry_space_group_name_H-M 'P -1'
_symmetry_Int_Tables_number 2
_cell_length_a 2.7102
_cell_length_b 4.3655
_cell_length_c 13.6925
_cell_angle_alpha 99.17
_cell_angle_beta 91.46
_cell_angle_gamma 90.05
loop_
_symmetry_equiv_pos_as_xyz
'x,y,z'
'-x,-y,-z'
loop_
_atom_site_label
_atom_site_type_symbol
_atom_site_fract_x
_atom_site_fract_y
_atom_site_fract_z
Ti1 Ti 0.1897 0.0546 0.1086
Ti2 Ti 0.2513 0.6780 0.3555
Cu1 Cu 0.2376 0.2356 0.4706
Cu2 Cu 0.2632 0.4084 0.8175
Pd1 Pd 0.2674 0.8548 0.7103
Pd2 Pd 0.5000 0.5000 0.0000
```

No. 4
Below is a relaxed TiCu2Pd4 crystal, with properties calculated at the PBE-GGA level.

```
data_TiCu2Pd4
_symmetry_space_group_name_H-M 'P 1'
_symmetry_Int_Tables_number 1
_cell_length_a 6.6582
_cell_length_b 6.6852
_cell_length_c 6.6876
_cell_angle_alpha 91.67
_cell_angle_beta 118.70
_cell_angle_gamma 118.66
loop_
_symmetry_equiv_pos_as_xyz
'x,y,z'
loop_
_atom_site_label
_atom_site_type_symbol
_atom_site_fract_x
_atom_site_fract_y
_atom_site_fract_z
Ti1 Ti 0.0000 0.0000 0.0000
Ti2 Ti 0.4994 0.0625 0.9367
Cu1 Cu 0.1374 0.3733 0.3433
Cu2 Cu 0.3686 0.1374 0.4836
Cu3 Cu 0.6313 0.5162 0.8640
Cu4 Cu 0.8612 0.6560 0.6267
Pd1 Pd 0.1227 0.1392 0.6922
Pd2 Pd 0.2186 0.7793 0.1170
Pd3 Pd 0.2741 0.6199 0.7644
Pd4 Pd 0.4293 0.4266 0.1699
Pd5 Pd 0.5699 0.8295 0.5735
Pd6 Pd 0.7250 0.2349 0.3798
Pd7 Pd 0.7814 0.8833 0.2205
Pd8 Pd 0.8764 0.3076 0.8603
```

No. 5
Below is a relaxed TiCuPd3 crystal, with properties calculated at the PBE-GGA level.

```
data_TiCuPd3
_symmetry_space_group_name_H-M 'P n m a'
_symmetry_Int_Tables_number 62
_cell_length_a 5.4864
_cell_length_b 7.6357
_cell_length_c 7.3417
_cell_angle_alpha 90.00
_cell_angle_beta 90.00
_cell_angle_gamma 90.00
loop_
_symmetry_equiv_pos_as_xyz
'x,y,z'
'-x,-y,-z'
'-x+1/2,-y,z+1/2'
'x+1/2,y,-z+1/2'
'x+1/2,-y+1/2,-z+1/2'
'-x+1/2,y+1/2,z+1/2'
'-x,y+1/2,-z'
'x,-y+1/2,z'
loop_
_atom_site_label
_atom_site_type_symbol
_atom_site_fract_x
_atom_site_fract_y
_atom_site_fract_z
Ti1 Ti 0.1966 0.2500 0.0087
Cu1 Cu 0.0000 0.0000 0.5000
Pd1 Pd 0.1071 0.5625 0.8252
Pd2 Pd 0.2286 0.7500 0.1543
```

No. 6
Below is a relaxed Ti4Cu3Pd4 crystal, with properties calculated at the PBE-GGA level.

```
data_Ti4Cu3Pd4
_symmetry_space_group_name_H-M 'P 1'
_symmetry_Int_Tables_number 1
_cell_length_a 2.7629
_cell_length_b 4.4364
_cell_length_c 13.5311
_cell_angle_alpha 80.57
_cell_angle_beta 90.00
_cell_angle_gamma 90.00
loop_
_symmetry_equiv_pos_as_xyz
'x,y,z'
loop_
_atom_site_label
_atom_site_type_symbol
_atom_site_fract_x
_atom_site_fract_y
_atom_site_fract_z
Ti1 Ti 0.0000 0.0000 0.0000
Ti2 Ti 0.0007 0.6206 0.7585
Ti3 Ti 0.5010 0.2670 0.4676
Ti4 Ti 0.5015 0.8941 0.2138
Cu1 Cu 0.0016 0.8023 0.3981
Cu2 Cu 0.0042 0.4464 0.1083
Cu3 Cu 0.5010 0.0871 0.8247
Pd1 Pd 0.0012 0.1739 0.6527
Pd2 Pd 0.0007 0.3536 0.2952
Pd3 Pd 0.5009 0.5323 0.9348
Pd4 Pd 0.5012 0.7143 0.5722
```

No. 7
Below is a relaxed Ti2Cu4Pd crystal, with properties calculated at the PBE-GGA level.

```
data_Ti2Cu4Pd
_symmetry_space_group_name_H-M 'I 4/m c m'
_symmetry_Int_Tables_number 140
_symmetry_space_group_name_Hall '-I 4 2c'
_cell_length_a 7.2192
_cell_length_b 7.2192
_cell_length_c 7.9004
_cell_angle_alpha 90.00
_cell_angle_beta 90.00
_cell_angle_gamma 90.00
loop_
_atom_site_label
_atom_site_type_symbol
_atom_site_fract_x
_atom_site_fract_y
_atom_site_fract_z
Ti1 Ti 0.1542 0.3458 0.0000
Cu1 Cu 0.1454 0.3546 0.3311
Pd1 Pd 0.0000 0.0000 0.2500
```

No. 8
Below is a relaxed Ti5CuPd8 crystal, with properties calculated at the PBE-GGA level.

```
data_Ti5CuPd8
_symmetry_space_group_name_H-M 'I -4'
_symmetry_Int_Tables_number 82
_cell_length_a 7.8067
_cell_length_b 7.8067
_cell_length_c 7.4799
_cell_angle_alpha 90.00
_cell_angle_beta 90.00
_cell_angle_gamma 90.00
loop_
_symmetry_equiv_pos_as_xyz
'x,y,z'
'y,-x,-z'
'-x,-y,z'
'-y,x,-z'
'x+1/2,y+1/2,z+1/2'
'y+1/2,-x+1/2,-z+1/2'
'-x+1/2,-y+1/2,z+1/2'
'-y+1/2,x+1/2,-z+1/2'
loop_
_atom_site_label
_atom_site_type_symbol
_atom_site_fract_x
_atom_site_fract_y
_atom_site_fract_z
Ti1 Ti 0.0000 0.0000 0.0000
Ti2 Ti 0.1104 0.8003 0.6075
Cu1 Cu 0.0000 0.5000 0.2500
Pd1 Pd 0.0607 0.6638 0.9207
Pd2 Pd 0.1125 0.8099 0.2610
```

| no. | E (eV per atom) | ΔH_f (0 K) (eV per formula unit) |
| --- | --- | --- |
| 1 | -5.49 | -3.09 |
| 2 | -4.85 | -0.77 |
| 3 | -6.05 | -2.99 |
| 4 | -5.49 | -1.58 |
| 5 | -5.78 | -1.32 |
| 6 | -6.23 | -3.91 |
| 7 | -5.35 | -0.09 |
| 8 | -6.42 | -4.71 |